1.
Entry from Alexandria via LeMat-Bulk: LiSmSc2S4 after structural relaxation (PBE-GGA).

abc: 6.5185 3.7716 6.6464
angles: 90.00 109.01 90.00
Element x y z (fractional)
Li 0.0000 0.0000 0.0000
Sm 0.5000 0.5000 0.0000
Sc 0.0000 0.5000 0.5000
Sc 0.5000 0.0000 0.5000
S 0.2344 0.0000 0.7334
S 0.2473 0.5000 0.2634
S 0.7527 0.5000 0.7366
S 0.7656 0.0000 0.2666

* uncorrected formation energy: -179.7 kJ/mol of atoms
* total magnetization: 0.000 μB/cell



2.
Entry from Alexandria via LeMat-Bulk: CuNi2Ir after structural relaxation (PBE-GGA).

abc: 3.6571 3.6571 3.6330
angles: 90.00 90.00 90.00
Element x y z (fractional)
Cu 0.0000 0.0000 0.0000
Ni 0.0000 0.5000 0.5000
Ni 0.5000 0.0000 0.5000
Ir 0.5000 0.5000 0.0000

* total magnetization: 1.157 μB/cell
* energy relative to the elements: 114.9 meV per atom



3.
Entry from Alexandria via LeMat-Bulk: KP2PtO8 after structural relaxation (PBE-GGA).

abc: 4.8294 4.8294 8.6007
angles: 90.00 90.00 120.00
Element x y z (fractional)
K 0.0000 0.0000 0.0000
P 0.3333 0.6667 0.6995
P 0.6667 0.3333 0.3005
Pt 0.0000 0.0000 0.5000
O 0.0384 0.3494 0.6380
O 0.3110 0.9616 0.6380
O 0.3333 0.6667 0.8747
O 0.3494 0.3110 0.3620
O 0.6506 0.6890 0.6380
O 0.6667 0.3333 0.1253
O 0.6890 0.0384 0.3620
O 0.9616 0.6506 0.3620

* uncorrected formation energy: -157.1 kJ/mol of atoms
* total magnetization: 0.000 μB/cell



4.
Entry from Alexandria via LeMat-Bulk: Cs2SeSF6 after structural relaxation (PBE-GGA).

abc: 6.9929 6.9929 6.9929
angles: 123.26 123.26 84.44
Element x y z (fractional)
Cs 0.2500 0.7500 0.5000
Cs 0.7500 0.2500 0.5000
Se 0.0000 0.0000 0.0000
S 0.5000 0.5000 0.0000
F 0.1892 0.1892 0.0000
F 0.2089 0.2089 0.4178
F 0.2089 0.7911 0.0000
F 0.7911 0.2089 0.0000
F 0.7911 0.7911 0.5822
F 0.8108 0.8108 0.0000

* uncorrected formation energy: -169.9 kJ/mol of atoms
* total magnetization: 2.000 μB/cell